[1]
# Rb3Hg11 GGA-PBE relaxed
data_Rb3Hg11
_space_group_name_H-M_alt 'I m m m'
_space_group_IT_number 71
_space_group_name_Hall '-I 2 2'
_cell_length_a 5.208
_cell_length_b 11.608
_cell_length_c 15.516
_cell_angle_alpha 90.00
_cell_angle_beta 90.00
_cell_angle_gamma 90.00
loop_
_atom_site_label
_atom_site_type_symbol
_atom_site_fract_x
_atom_site_fract_y
_atom_site_fract_z
Rb1 Rb 0.000 0.000 0.000
Rb2 Rb 0.000 0.000 0.312
Hg1 Hg 0.000 0.212 0.500
Hg2 Hg 0.000 0.283 0.136
Hg3 Hg 0.000 0.365 0.333
Hg4 Hg 0.000 0.500 0.000
# formation enthalpy at 0 K: -211 meV/atom
# V: 468.9 Å³/f.u.
# density of states at the Fermi level: 10.34 states/eV per cell
# crystal system: orthorhombic

[2]
# Tb2TmTh3Bi6 GGA-PBE relaxed
data_Tb2TmTh3Bi6
_space_group_name_H-M_alt 'C 1 2/m 1'
_space_group_IT_number 12
_cell_length_a 19.766
_cell_length_b 4.543
_cell_length_c 9.046
_cell_angle_alpha 90.00
_cell_angle_beta 103.04
_cell_angle_gamma 90.00
loop_
_space_group_symop_operation_xyz
'x,y,z'
'-x,-y,-z'
'-x,y,-z'
'x,-y,z'
'x+1/2,y+1/2,z'
'-x+1/2,-y+1/2,-z'
'-x+1/2,y+1/2,-z'
'x+1/2,-y+1/2,z'
loop_
_atom_site_label
_atom_site_type_symbol
_atom_site_fract_x
_atom_site_fract_y
_atom_site_fract_z
Tb1 Tb 0.167 0.000 0.333
Tm1 Tm 0.000 0.500 0.000
Th1 Th 0.000 0.500 0.500
Th2 Th 0.168 0.000 0.833
Bi1 Bi 0.001 0.000 0.242
Bi2 Bi 0.163 0.500 0.087
Bi3 Bi 0.168 0.500 0.578
# formation enthalpy at 0 K: -703 meV/atom
# V: 395.6 Å³/f.u.
# density of states at the Fermi level: 13.17 states/eV per cell
# crystal system: monoclinic

[3]
# CsSb8Au2 GGA-PBE relaxed
data_CsSb8Au2
_space_group_name_H-M_alt 'P -1'
_space_group_IT_number 2
_cell_length_a 5.665
_cell_length_b 5.667
_cell_length_c 12.198
_cell_angle_alpha 76.61
_cell_angle_beta 76.87
_cell_angle_gamma 90.00
loop_
_space_group_symop_operation_xyz
'x,y,z'
'-x,-y,-z'
loop_
_atom_site_label
_atom_site_type_symbol
_atom_site_fract_x
_atom_site_fract_y
_atom_site_fract_z
Cs1 Cs 0.000 0.000 0.000
Sb1 Sb 0.145 0.642 0.717
Sb2 Sb 0.187 0.186 0.629
Sb3 Sb 0.356 0.858 0.283
Sb4 Sb 0.413 0.417 0.166
Au1 Au 0.299 0.300 0.400
# ΔE_f (raw): -0.043 eV per atom
# V: 370.4 Å³/f.u.
# density of states at the Fermi level: 3.67 states/eV per cell
# crystal system: triclinic

[4]
# CaTb4Mg5 GGA-PBE relaxed
data_CaTb4Mg5
_space_group_name_H-M_alt 'P 4/m m m'
_space_group_IT_number 123
_space_group_name_Hall '-P 4 2'
_cell_length_a 3.822
_cell_length_b 3.822
_cell_length_c 19.281
_cell_angle_alpha 90.00
_cell_angle_beta 90.00
_cell_angle_gamma 90.00
loop_
_atom_site_label
_atom_site_type_symbol
_atom_site_fract_x
_atom_site_fract_y
_atom_site_fract_z
Ca1 Ca 0.000 0.000 0.000
Tb1 Tb 0.000 0.000 0.209
Tb2 Tb 0.000 0.000 0.402
Mg1 Mg 0.500 0.500 0.109
Mg2 Mg 0.500 0.500 0.305
Mg3 Mg 0.500 0.500 0.500
# formation enthalpy at 0 K: -84 meV/atom
# V: 281.7 Å³/f.u.
# density of states at the Fermi level: 11.05 states/eV per cell
# crystal system: tetragonal

[5]
# Al2Cd2Au GGA-PBE relaxed
data_Al2Cd2Au
_space_group_name_H-M_alt 'P 4/m b m'
_space_group_IT_number 127
_space_group_name_Hall '-P 4 2ab'
_cell_length_a 6.752
_cell_length_b 6.752
_cell_length_c 4.440
_cell_angle_alpha 90.00
_cell_angle_beta 90.00
_cell_angle_gamma 90.00
loop_
_atom_site_label
_atom_site_type_symbol
_atom_site_fract_x
_atom_site_fract_y
_atom_site_fract_z
Al1 Al 0.142 0.358 0.000
Cd1 Cd 0.164 0.664 0.500
Au1 Au 0.000 0.000 0.000
# formation enthalpy at 0 K: -28 meV/atom
# V: 101.2 Å³/f.u.
# density of states at the Fermi level: 3.83 states/eV per cell
# crystal system: tetragonal
# energy above the most stable polymorph in this dataset: 0 meV/atom

[6]
# HfInPb GGA-PBE relaxed
data_HfInPb
_space_group_name_H-M_alt 'C m c e'
_space_group_IT_number 64
_space_group_name_Hall '-C 2ac 2'
_cell_length_a 6.018
_cell_length_b 13.413
_cell_length_c 7.825
_cell_angle_alpha 90.00
_cell_angle_beta 90.00
_cell_angle_gamma 90.00
loop_
_atom_site_label
_atom_site_type_symbol
_atom_site_fract_x
_atom_site_fract_y
_atom_site_fract_z
Hf1 Hf 0.000 0.100 0.088
In1 In 0.250 0.072 0.750
Pb1 Pb 0.000 0.184 0.439
# formation enthalpy at 0 K: 147 meV/atom
# V: 78.9 Å³/f.u.
# density of states at the Fermi level: 20.18 states/eV per cell
# crystal system: orthorhombic
# energy above the most stable polymorph in this dataset: 22 meV/atom

[7]
# Pm5Nd4Tm GGA-PBE relaxed
data_Pm5Nd4Tm
_space_group_name_H-M_alt 'P 4/m m m'
_space_group_IT_number 123
_space_group_name_Hall '-P 4 2'
_cell_length_a 3.658
_cell_length_b 3.658
_cell_length_c 25.698
_cell_angle_alpha 90.00
_cell_angle_beta 90.00
_cell_angle_gamma 90.00
loop_
_atom_site_label
_atom_site_type_symbol
_atom_site_fract_x
_atom_site_fract_y
_atom_site_fract_z
Pm1 Pm 0.000 0.000 0.000
Pm2 Pm 0.000 0.000 0.202
Pm3 Pm 0.000 0.000 0.404
Nd1 Nd 0.500 0.500 0.101
Nd2 Nd 0.500 0.500 0.303
Tm1 Tm 0.500 0.500 0.500
# formation enthalpy at 0 K: 19 meV/atom
# V: 343.8 Å³/f.u.
# density of states at the Fermi level: 14.44 states/eV per cell
# crystal system: tetragonal
# energy above the most stable polymorph in this dataset: 4 meV/atom

[8]
# CrOs2Au GGA-PBE relaxed
data_CrOs2Au
_space_group_name_H-M_alt 'P m m m'
_space_group_IT_number 47
_cell_length_a 2.742
_cell_length_b 3.768
_cell_length_c 5.687
_cell_angle_alpha 90.00
_cell_angle_beta 90.00
_cell_angle_gamma 90.00
loop_
_space_group_symop_operation_xyz
'x,y,z'
'-x,-y,-z'
'-x,-y,z'
'x,y,-z'
'x,-y,-z'
'-x,y,z'
'-x,y,-z'
'x,-y,z'
loop_
_atom_site_label
_atom_site_type_symbol
_atom_site_fract_x
_atom_site_fract_y
_atom_site_fract_z
Cr1 Cr 0.000 0.000 0.000
Os1 Os 0.500 0.500 0.217
Au1 Au 0.000 0.000 0.500
# formation enthalpy at 0 K: 397 meV/atom
# V: 58.8 Å³/f.u.
# density of states at the Fermi level: 4.44 states/eV per cell
# crystal system: orthorhombic
# energy above the most stable polymorph in this dataset: 135 meV/atom

Question: What is the V in the sixth record?
Answer: 78.9 Å³/f.u.